Nd2Dy6Th | Alexandria | PBE-GGA | relaxed; energy above the most stable polymorph in this dataset = 0.09 eV per formula unit; energy relative to the elements = 71.1 meV per atom; calculated total energy = -4.881 eV/atom; spin magnetization = 0.01 μB/f.u.; density = 8.40 Mg/m³
1.0
3.584 0.000 0.000
-1.792 3.104 0.000
0.000 0.000 26.564
Nd Dy Th
2 6 1
direct
0.667 0.333 0.671
0.667 0.333 0.329
0.333 0.667 0.215
0.667 0.333 0.891
0.333 0.667 0.563
0.333 0.667 0.437
0.333 0.667 0.785
0.667 0.333 0.109
0.333 0.667 0.000



CaTe2HN | Alexandria | PBE-GGA | relaxed; energy above the most stable polymorph in this dataset = 0.00 eV per formula unit; calculated total energy = -3.515 eV/atom; spin magnetization = 0.28 μB/f.u.; density = 5.49 Mg/m³
1.0
-0.148 0.700 5.510
0.619 -5.476 0.712
3.019 0.346 0.037
N Te H Ca
1 2 1 1
direct
0.000 0.000 0.500
0.000 0.500 0.000
0.500 0.000 0.000
0.000 0.000 0.000
0.500 0.500 0.500



BaHN2F | Alexandria | PBE-GGA | relaxed; energy above the most stable polymorph in this dataset = 0.00 eV per formula unit; calculated total energy = -4.425 eV/atom; spin magnetization = 1.34 μB/f.u.; density = 4.79 Mg/m³
1.0
3.531 0.000 0.000
0.000 3.531 0.000
0.000 0.000 5.150
N Ba H F
2 1 1 1
direct
0.000 0.500 0.000
0.500 0.000 0.000
0.500 0.500 0.500
0.000 0.000 0.000
0.000 0.000 0.500